No. 1
This record from Alexandria via LeMat-Bulk describes a relaxed structure of CrAgPd2. The functional is PBE.

Cell: 5.716 5.716 5.716 Å, 103.24 103.24 122.81°
Element x y z (fractional)
Cr  0.000  0.000  0.000
Cr  0.750  0.250  0.500
Ag  0.250  0.750  0.500
Ag  0.500  0.500  0.000
Pd  0.102  0.625  0.977
Pd  0.375  0.352  0.477
Pd  0.648  0.125  0.023
Pd  0.875  0.898  0.523

Calculated values
Space-group type: I-42d (122)
Calculated formation energy: 0.37 eV/atom

=====

No. 2
This record from Alexandria via LeMat-Bulk describes a relaxed structure of DyFe2SiH. The functional is PBE.

Cell: 5.476 5.476 7.127 Å, 90.00 90.00 142.63°
Element x y z (fractional)
Dy  0.045  0.955  0.750
Dy  0.955  0.045  0.250
Fe  0.332  0.668  0.555
Fe  0.332  0.668  0.945
Fe  0.668  0.332  0.055
Fe  0.668  0.332  0.445
Si  0.234  0.766  0.250
Si  0.766  0.234  0.750
H  0.500  0.500  0.000
H  0.500  0.500  0.500

Calculated values
Space-group type: Cmcm (63)
Final energy: -65.42 eV for the cell shown

=====

No. 3
This record from Alexandria via LeMat-Bulk describes a relaxed structure of SbH3Os. The functional is PBE.

Cell: 3.869 3.869 3.869 Å, 90.00 90.00 90.00°
Element x y z (fractional)
Sb  0.000  0.000  0.000
H  0.000  0.000  0.500
H  0.000  0.500  0.000
H  0.500  0.000  0.000
Os  0.500  0.500  0.500

Calculated values
Space-group type: Pm-3m (221)
Final energy: -17.27 eV for the cell shown

=====

No. 4
This record from Alexandria via LeMat-Bulk describes a relaxed structure of Rb3Tm3PuO8. The functional is PBE.

Cell: 7.739 7.739 7.739 Å, 52.87 52.87 52.87°
Element x y z (fractional)
Rb  0.000  0.500  0.500
Rb  0.500  0.000  0.500
Rb  0.500  0.500  0.000
Tm  0.000  0.000  0.500
Tm  0.000  0.500  0.000
Tm  0.500  0.000  0.000
Pu  0.500  0.500  0.500
O  0.222  0.222  0.222
O  0.228  0.719  0.719
O  0.281  0.281  0.772
O  0.281  0.772  0.281
O  0.719  0.228  0.719
O  0.719  0.719  0.228
O  0.772  0.281  0.281
O  0.778  0.778  0.778

Calculated values
Raw formation energy: -2.814 eV/atom
Space-group type: R-3m (166)